{
  "formula": "Y3BiPt",
  "functional": "meta-GGA SCAN",
  "state": "single point on PBEsol structure",
  "e_form_ev_per_atom": 0.4627,
  "sg": "Pm-3m (221)",
  "crystal_system": "cubic",
  "cell": [[5.577, 0.000, 0.000], [0.000, 5.577, 0.000], [0.000, 0.000, 5.577]],
  "species": ["Y", "Y", "Y", "Bi", "Pt"],
  "fractional_positions": [[0.000, 0.500, 0.000], [0.000, 0.000, 0.500], [0.500, 0.000, 0.000], [0.000, 0.000, 0.000], [0.500, 0.500, 0.500]]
}